Below is a relaxed LaY2Sc crystal, with properties calculated at the PBE level.

Computed properties:
Space-group type   I4/mmm (139)
DOS(E_F)   8.1 states/eV per cell
Calculated formation energy   0.0697 eV/atom
E_tot   -5.977 eV/atom
Distance to the lowest polymorph of the same formula   35 meV/atom
Crystal system   tetragonal

Cell: 6.142 6.142 6.142 Å, 131.74 131.74 70.64°
Sites, in units of the cell vectors:
La: 0.000 0.000 0.000
Y: 0.250 0.750 0.500
Y: 0.750 0.250 0.500
Sc: 0.500 0.500 0.000